{"formula": "Li2Ir2O5", "functional": "PBE", "state": "relaxed", "cell": [[3.820, 0.000, 0.000], [0.000, 3.820, 0.000], [0.000, 0.000, 6.783]], "species": ["Li", "Li", "Ir", "Ir", "O", "O", "O", "O", "O"], "fractional_positions": [[0.000, 0.000, 0.000], [0.000, 0.000, 0.500], [0.500, 0.500, 0.195], [0.500, 0.500, 0.805], [0.000, 0.500, 0.191], [0.000, 0.500, 0.809], [0.500, 0.000, 0.191], [0.500, 0.000, 0.809], [0.500, 0.500, 0.500]], "total_magnetization_mub_per_cell": 0.88, "e_above_lowest_polymorph_mev_per_atom": 0, "space_group": "P4/mmm", "vol_a3_per_atom": 11.00}

***

{"formula": "Be2NiW", "functional": "PBE", "state": "relaxed", "cell": [[5.627, 0.000, 0.000], [0.000, 5.627, 0.000], [0.000, 0.000, 5.627]], "species": ["Be", "Be", "Be", "Be", "Be", "Be", "Be", "Be", "Ni", "Ni", "Ni", "Ni", "W", "W", "W", "W"], "fractional_positions": [[0.000, 0.000, 0.000], [0.000, 0.500, 0.500], [0.250, 0.250, 0.250], [0.250, 0.750, 0.750], [0.500, 0.000, 0.500], [0.500, 0.500, 0.000], [0.750, 0.250, 0.750], [0.750, 0.750, 0.250], [0.250, 0.250, 0.750], [0.250, 0.750, 0.250], [0.750, 0.250, 0.250], [0.750, 0.750, 0.750], [0.000, 0.000, 0.500], [0.000, 0.500, 0.000], [0.500, 0.000, 0.000], [0.500, 0.500, 0.500]], "energy_ev_per_cell": -101.0, "total_magnetization_mub_per_cell": 0.07, "space_group": "F-43m", "vol_a3_per_atom": 11.14}

***

{"formula": "Li4ZnCdSn2", "functional": "PBE", "state": "relaxed", "cell": [[4.653, 0.000, 0.000], [0.000, 4.653, 0.000], [0.000, 0.000, 6.576]], "species": ["Li", "Li", "Li", "Li", "Zn", "Cd", "Sn", "Sn"], "fractional_positions": [[0.000, 0.000, 0.000], [0.000, 0.500, 0.242], [0.500, 0.000, 0.758], [0.500, 0.500, 0.500], [0.500, 0.500, 0.000], [0.000, 0.000, 0.500], [0.000, 0.500, 0.765], [0.500, 0.000, 0.235]], "energy_ev_per_cell": -20.4, "space_group": "P-4m2", "vol_a3_per_atom": 17.79}